Material: MnHg2S
Method: DFT, PBE
State: relaxed

abc: 9.8753 9.8753 7.3378
angles: 47.71 47.71 90.00
Each line ends with the local moment (μB).
Atoms (fractional coordinates):
Hg 0.0201 0.6250 0.2500  0.06
Mn 0.7500 0.2500 0.5000  3.97
Hg 0.3750 0.2701 0.7500  0.06
S 0.5000 0.5000 0.0000  0.08
Hg 0.7299 0.1250 0.2500  0.06
Mn 0.0000 0.0000 0.0000  3.98
Hg 0.8750 0.9799 0.7500  0.07
S 0.2500 0.7500 0.5000  0.08

Properties
Uncorrected energy = -27.230 eV per cell
Magnetic moment = 9.4 μB/cell
Energy above the most stable polymorph in this dataset = 0 meV/atom
Formation energy from raw total energies = 0.071 eV per atom



Material: Na2Cu2As
Method: DFT, PBE
State: relaxed

abc: 6.3359 6.3359 4.7877
angles: 90.00 90.00 90.00
Atoms (fractional coordinates):
Cu 0.1393 0.3607 0.0000
Cu 0.3607 0.8607 0.0000
Cu 0.8607 0.6393 0.0000
As 0.0000 0.0000 0.0000
Cu 0.6393 0.1393 0.0000
Na 0.1794 0.6794 0.5000
As 0.5000 0.5000 0.0000
Na 0.6794 0.8206 0.5000
Na 0.8206 0.3206 0.5000
Na 0.3206 0.1794 0.5000

Properties
Uncorrected energy = -31.215 eV per cell
Magnetic moment = 0.0 μB/cell
E_form = -0.025 eV per atom



Material: Y2GaAuS
Method: DFT, PBE
State: relaxed

abc: 5.4334 4.6025 5.4334
angles: 90.00 90.00 90.00
Atoms (fractional coordinates):
Y 0.0000 0.0000 0.5000
Au 0.5000 0.5000 0.5000
Y 0.5000 0.0000 0.0000
S 0.0000 0.5000 0.0000
Ga 0.0000 0.0000 0.0000

Properties
Uncorrected energy = -23.436 eV per cell
Magnetic moment = 0.0 μB/cell
Formation energy from raw total energies = -0.015 eV per atom



Material: SiTcBiTe2
Method: DFT, PBE
State: relaxed

abc: 5.0946 5.2102 5.0946
angles: 90.00 90.00 90.00
Each line ends with the local moment (μB).
Atoms (fractional coordinates):
Te 0.0000 0.0000 0.5000  0.01
Bi 0.0000 0.5000 0.0000  0.02
Si 0.0000 0.0000 0.0000  0.00
Te 0.5000 0.0000 0.0000  0.00
Tc 0.5000 0.5000 0.5000  -0.12

Properties
Uncorrected energy = -19.372 eV per cell
Magnetic moment = 0.1 μB/cell
Formation energy from raw total energies = 1.316 eV per atom



Material: HoNF3
Method: DFT, PBE
State: relaxed

abc: 7.0350 7.9360 7.9377
angles: 113.50 90.00 90.00
Each line ends with the local moment (μB).
Atoms (fractional coordinates):
F 0.5025 0.0993 0.9006  0.01
F 0.9975 0.5993 0.4006  0.01
F 0.7499 0.2475 0.2532  0.01
Ho 0.2500 0.5014 0.4979  0.00
F 0.7501 0.7475 0.7532  0.01
F 0.0025 0.9006 0.0994  0.01
F 0.4975 0.4006 0.5994  0.01
Ho 0.7500 0.9986 0.0021  0.00
F 0.2501 0.7525 0.7468  0.01
F 0.9975 0.0993 0.9006  0.01
Ho 0.2500 0.0014 0.9979  0.00
F 0.4975 0.9007 0.0994  0.01
F 0.2499 0.2525 0.2468  0.01
F 0.5025 0.5994 0.4006  0.01
Ho 0.7500 0.4986 0.5021  0.00
F 0.0025 0.4007 0.5994  0.01
N 0.7500 0.4897 0.9952  1.94
N 0.2500 0.0103 0.5048  1.94
N 0.2500 0.5103 0.0048  1.94
N 0.7500 0.9897 0.4952  1.94

Properties
Uncorrected energy = -117.840 eV per cell
Magnetic moment = 12.0 μB/cell
Formation energy from raw total energies = -2.189 eV per atom



Material: Ca12Tc3Te5
Method: DFT, PBE
State: relaxed

abc: 15.5240 15.5240 15.5240
angles: 109.47 109.47 109.47
Each line ends with the local moment (μB).
Atoms (fractional coordinates):
Ca 0.7667 0.4345 0.3665  -0.02
Ca 0.2666 0.4002 0.8322  -0.02
Te 0.6250 0.8750 0.2500  0.01
Ca 0.4320 0.0655 0.3322  -0.02
Ca 0.8322 0.9320 0.0655  -0.02
Te 0.3750 0.2500 0.1250  0.01
Ca 0.4345 0.6678 0.0680  -0.02
Ca 0.4320 0.3665 0.5998  -0.02
Tc 0.6250 0.3750 0.7500  1.21
Ca 0.4002 0.2666 0.3322  -0.02
Te 0.7500 0.6250 0.3750  0.01
Ca 0.7333 0.5998 0.1678  -0.02
Ca 0.8665 0.5998 0.9320  -0.02
Tc 0.7500 0.8750 0.6250  1.21
Ca 0.0998 0.1678 0.2334  -0.02
Ca 0.2666 0.8665 0.9345  -0.02
Ca 0.9320 0.0998 0.8665  -0.02
Ca 0.9345 0.5680 0.1678  -0.02
Te 0.5000 0.5000 0.5000  -0.01
Te 0.7500 0.1250 0.8750  0.01
Te 0.3750 0.1250 0.7500  0.01
Ca 0.1678 0.0998 0.7333  -0.02
Te 0.0000 0.0000 0.5000  -0.01
Te 0.8750 0.2500 0.6250  0.01
Ca 0.6335 0.0655 0.2334  -0.02
Te 0.8750 0.6250 0.7500  0.01
Ca 0.0680 0.1678 0.4345  -0.02
Ca 0.3665 0.9345 0.7667  -0.02
Ca 0.3665 0.4320 0.0998  -0.02
Ca 0.8322 0.9002 0.2666  -0.02
Tc 0.7500 0.3750 0.1250  1.21
Ca 0.1335 0.7333 0.5655  -0.02
Te 0.2500 0.8750 0.1250  0.01
Te 0.2500 0.3750 0.6250  0.01
Ca 0.5680 0.6335 0.4002  -0.02
Te 0.1250 0.3750 0.2500  0.01
Ca 0.4002 0.1335 0.5680  -0.02
Ca 0.0655 0.4320 0.8322  -0.02
Ca 0.0998 0.9320 0.3665  -0.02
Ca 0.9320 0.8322 0.5655  -0.02
Ca 0.4345 0.7667 0.8665  -0.02
Ca 0.5655 0.3322 0.9320  -0.02
Ca 0.6678 0.2334 0.5998  -0.02
Ca 0.1678 0.0680 0.9345  -0.02
Te 0.5000 0.0000 0.5000  -0.01
Ca 0.7667 0.3322 0.9002  -0.02
Ca 0.2334 0.6678 0.0998  -0.02
Tc 0.1250 0.2500 0.8750  1.21
Ca 0.3322 0.5655 0.4320  -0.02
Tc 0.2500 0.6250 0.8750  1.21
Ca 0.2334 0.5655 0.6335  -0.02
Te 0.1250 0.7500 0.3750  0.01
Ca 0.0680 0.9002 0.1335  -0.02
Ca 0.3322 0.7667 0.4002  -0.02
Te 0.0000 0.0000 0.0000  -0.01
Te 0.0000 0.5000 0.0000  -0.01
Ca 0.0655 0.6335 0.7333  -0.02
Ca 0.9002 0.0680 0.6335  -0.02
Te 0.6250 0.7500 0.8750  0.01
Tc 0.8750 0.1250 0.2500  1.21
Ca 0.5998 0.8665 0.4320  -0.02
Ca 0.7333 0.1335 0.0655  -0.02
Ca 0.5998 0.7333 0.6678  -0.02
Ca 0.8665 0.2666 0.4345  -0.02
Ca 0.9345 0.3665 0.2666  -0.02
Ca 0.6335 0.5680 0.9002  -0.02
Ca 0.1335 0.4002 0.0680  -0.02
Te 0.0000 0.5000 0.5000  -0.01
Ca 0.5655 0.2334 0.1335  -0.02
Ca 0.9002 0.8322 0.7667  -0.02
Tc 0.2500 0.1250 0.3750  1.21
Te 0.5000 0.5000 0.0000  -0.01
Tc 0.6250 0.2500 0.3750  1.21
Te 0.5000 0.0000 0.0000  -0.01
Tc 0.3750 0.7500 0.6250  1.21
Tc 0.8750 0.7500 0.1250  1.21
Ca 0.6678 0.4345 0.5680  -0.02
Tc 0.3750 0.6250 0.2500  1.21
Tc 0.1250 0.8750 0.7500  1.21
Ca 0.5680 0.9345 0.6678  -0.02

Properties
Uncorrected energy = -296.535 eV per cell
Magnetic moment = 13.4 μB/cell
Formation energy from raw total energies = -0.165 eV per atom



Which of these has the lowest uncorrected energy? Ca12Tc3Te5



What is the magnetic moment in the fourth record? 0.1 μB/cell



The highest magnetic moment belongs to which entry? Ca12Tc3Te5